(1)
# KOsRh (PBE, optimized geometry)
# Final energy, eV per formula unit: -17.835
# Energy of formation from the pure elements, eV/atom: 0.614
data_KOsRh
_chemical_formula_sum 'K2 Os2 Rh2'
_cell_length_a 2.712
_cell_length_b 3.998
_cell_length_c 12.156
_cell_angle_alpha 90.00
_cell_angle_beta 90.00
_cell_angle_gamma 90.00
_symmetry_space_group_name_H-M 'I m m 2'
_symmetry_Int_Tables_number 44
loop_
_symmetry_equiv_pos_as_xyz
'x,y,z'
'-x,-y,z'
'-x,y,z'
'x,-y,z'
'x+1/2,y+1/2,z+1/2'
'-x+1/2,-y+1/2,z+1/2'
'-x+1/2,y+1/2,z+1/2'
'x+1/2,-y+1/2,z+1/2'
loop_
_atom_site_label
_atom_site_type_symbol
_atom_site_fract_x
_atom_site_fract_y
_atom_site_fract_z
K1 K 0.000 0.000 0.000
Os1 Os 0.000 0.000 0.717
Rh1 Rh 0.000 0.000 0.284



(2)
# KOsRh (PBE, optimized geometry)
# Final energy, eV per formula unit: -16.750
# Energy of formation from the pure elements, eV/atom: 0.976
data_KOsRh
_chemical_formula_sum 'K2 Os2 Rh2'
_cell_length_a 4.1086
_cell_length_b 4.1086
_cell_length_c 11.1025
_cell_angle_alpha 90.00
_cell_angle_beta 90.00
_cell_angle_gamma 120.00
_symmetry_space_group_name_H-M 'P 63/m m c'
_symmetry_Int_Tables_number 194
_symmetry_space_group_name_Hall '-P 6c 2c'
loop_
_atom_site_label
_atom_site_type_symbol
_atom_site_fract_x
_atom_site_fract_y
_atom_site_fract_z
K1 K 0.0000 0.0000 0.0000
Os1 Os 0.3333 0.6667 0.2500
Rh1 Rh 0.3333 0.6667 0.7500



(3)
# KOsRh (PBE, optimized geometry)
# Final energy, eV per formula unit: -17.899
# Energy of formation from the pure elements, eV/atom: 0.593
data_KOsRh
_chemical_formula_sum 'K2 Os2 Rh2'
_cell_length_a 4.415
_cell_length_b 5.064
_cell_length_c 6.565
_cell_angle_alpha 68.16
_cell_angle_beta 89.95
_cell_angle_gamma 90.00
_symmetry_space_group_name_H-M 'P 1'
_symmetry_Int_Tables_number 1
loop_
_symmetry_equiv_pos_as_xyz
'x,y,z'
loop_
_atom_site_label
_atom_site_type_symbol
_atom_site_fract_x
_atom_site_fract_y
_atom_site_fract_z
K1 K 0.000 0.000 0.000
K2 K 0.500 0.466 0.993
Os1 Os 0.002 0.825 0.546
Os2 Os 0.502 0.092 0.545
Rh1 Rh 0.002 0.371 0.444
Rh2 Rh 0.502 0.644 0.444



(4)
# KOsRh (PBE, optimized geometry)
# Final energy, eV per formula unit: -17.931
# Energy of formation from the pure elements, eV/atom: 0.583
data_KOsRh
_chemical_formula_sum 'K4 Os4 Rh4'
_cell_length_a 12.810
_cell_length_b 2.737
_cell_length_c 7.944
_cell_angle_alpha 90.00
_cell_angle_beta 108.21
_cell_angle_gamma 90.00
_symmetry_space_group_name_H-M 'C 1 2/m 1'
_symmetry_Int_Tables_number 12
loop_
_symmetry_equiv_pos_as_xyz
'x,y,z'
'-x,-y,-z'
'-x,y,-z'
'x,-y,z'
'x+1/2,y+1/2,z'
'-x+1/2,-y+1/2,-z'
'-x+1/2,y+1/2,-z'
'x+1/2,-y+1/2,z'
loop_
_atom_site_label
_atom_site_type_symbol
_atom_site_fract_x
_atom_site_fract_y
_atom_site_fract_z
K1 K 0.000 0.000 0.000
K2 K 0.000 0.000 0.500
Os1 Os 0.218 0.500 0.361
Rh1 Rh 0.214 0.500 0.854



(5)
# KOsRh (PBE, optimized geometry)
# Final energy, eV per formula unit: -11.489
# Energy of formation from the pure elements, eV/atom: 2.730
data_KOsRh
_chemical_formula_sum 'K4 Os4 Rh4'
_cell_length_a 6.483
_cell_length_b 6.483
_cell_length_c 6.483
_cell_angle_alpha 90.00
_cell_angle_beta 90.00
_cell_angle_gamma 90.00
_symmetry_space_group_name_H-M 'F -4 3 m'
_symmetry_Int_Tables_number 216
_symmetry_space_group_name_Hall 'F -4 2 3'
loop_
_atom_site_label
_atom_site_type_symbol
_atom_site_fract_x
_atom_site_fract_y
_atom_site_fract_z
K1 K 0.000 0.000 0.000
Os1 Os 0.250 0.250 0.750
Rh1 Rh 0.250 0.250 0.250



(6)
# KOsRh (PBE, optimized geometry)
# Final energy, eV per formula unit: -18.101
# Energy of formation from the pure elements, eV/atom: 0.526
data_KOsRh
_chemical_formula_sum 'K4 Os4 Rh4'
_cell_length_a 4.373
_cell_length_b 4.066
_cell_length_c 19.034
_cell_angle_alpha 90.00
_cell_angle_beta 90.00
_cell_angle_gamma 90.00
_symmetry_space_group_name_H-M 'P n m a'
_symmetry_Int_Tables_number 62
loop_
_symmetry_equiv_pos_as_xyz
'x,y,z'
'-x,-y,-z'
'-x+1/2,-y,z+1/2'
'x+1/2,y,-z+1/2'
'x+1/2,-y+1/2,-z+1/2'
'-x+1/2,y+1/2,z+1/2'
'-x,y+1/2,-z'
'x,-y+1/2,z'
loop_
_atom_site_label
_atom_site_type_symbol
_atom_site_fract_x
_atom_site_fract_y
_atom_site_fract_z
K1 K 0.165 0.250 0.159
Os1 Os 0.163 0.750 0.005
Rh1 Rh 0.142 0.750 0.433



(7)
# KOsRh (PBE, optimized geometry)
# Final energy, eV per formula unit: -16.412
# Energy of formation from the pure elements, eV/atom: 1.089
data_KOsRh
_chemical_formula_sum 'K2 Os2 Rh2'
_cell_length_a 4.5628
_cell_length_b 4.5628
_cell_length_c 7.8955
_cell_angle_alpha 90.00
_cell_angle_beta 90.00
_cell_angle_gamma 120.00
_symmetry_space_group_name_H-M 'P -6 m 2'
_symmetry_Int_Tables_number 187
_symmetry_space_group_name_Hall 'P -6 2'
loop_
_atom_site_label
_atom_site_type_symbol
_atom_site_fract_x
_atom_site_fract_y
_atom_site_fract_z
K1 K 0.0000 0.0000 0.0000
K2 K 0.0000 0.0000 0.5000
Os1 Os 0.3333 0.6667 0.1492
Rh1 Rh 0.6667 0.3333 0.1736



(8)
# KOsRh (PBE, optimized geometry)
# Final energy, eV per formula unit: -17.974
# Energy of formation from the pure elements, eV/atom: 0.568
data_KOsRh
_chemical_formula_sum 'K4 Os4 Rh4'
_cell_length_a 4.441
_cell_length_b 12.120
_cell_length_c 5.093
_cell_angle_alpha 90.00
_cell_angle_beta 90.00
_cell_angle_gamma 90.00
_symmetry_space_group_name_H-M 'C m c m'
_symmetry_Int_Tables_number 63
_symmetry_space_group_name_Hall '-C 2c 2'
loop_
_atom_site_label
_atom_site_type_symbol
_atom_site_fract_x
_atom_site_fract_y
_atom_site_fract_z
K1 K 0.000 0.228 0.250
Os1 Os 0.000 0.500 0.000
Rh1 Rh 0.000 0.032 0.750



Look up the final energy of the sixth one. -18.101 eV per formula unit